1.
Here is a relaxed structure of Y3Fe7Tc2 from Alexandria via LeMat-Bulk. Energies are from GGA-PBE.

a = 8.8486 Å, b = 8.8486 Å, c = 8.8486 Å
α = 33.55°, β = 33.55°, γ = 33.55°
Fractional coordinates of all 12 atoms:
Y 0.0000 0.0000 0.0000
Y 0.1416 0.1416 0.1416
Y 0.8584 0.8584 0.8584
Fe 0.0857 0.5830 0.5830
Fe 0.4170 0.4170 0.9143
Fe 0.4170 0.9143 0.4170
Fe 0.5000 0.5000 0.5000
Fe 0.5830 0.0857 0.5830
Fe 0.5830 0.5830 0.0857
Fe 0.9143 0.4170 0.4170
Tc 0.3319 0.3319 0.3319
Tc 0.6681 0.6681 0.6681

Output
**Energy of formation**: -4.19 kJ per mole of atoms
**Density of states at the Fermi level**: 0.84 states/eV per atom
**Total magnetization**: 12.3 μB per formula unit

2.
Here is a relaxed structure of YFe2Tc2 from Alexandria via LeMat-Bulk. Energies are from GGA-PBE.

a = 7.3938 Å, b = 7.3938 Å, c = 2.7389 Å
α = 90.00°, β = 90.00°, γ = 90.00°
Fractional coordinates of all 10 atoms:
Y 0.0000 0.0000 0.0000
Y 0.5000 0.5000 0.0000
Fe 0.1191 0.3809 0.0000
Fe 0.3809 0.8809 0.0000
Fe 0.6191 0.1191 0.0000
Fe 0.8809 0.6191 0.0000
Tc 0.1661 0.6661 0.5000
Tc 0.3339 0.1661 0.5000
Tc 0.6661 0.8339 0.5000
Tc 0.8339 0.3339 0.5000

Output
**Energy of formation**: 21.70 kJ per mole of atoms
**Density of states at the Fermi level**: 1.83 states/eV per atom
**Total magnetization**: 0.0 μB per formula unit